# LiY4Pd

An optimized crystal structure of LiY4Pd (PBE, Alexandria).

Density ... 4.386 g/cm³
Uncorrected energy ... -5.4798 eV/atom
Magnetic moment ... 0.0 μB/f.u.
Symmetry ... P4/mmm
Energy relative to the elements ... 0.014 eV/atom

Lattice parameters (Å, degrees): 4.906 4.907 7.377 89.98 89.99 90.00
Sites, in units of the cell vectors:
Y 0.501 0.997 0.268
Y 0.001 0.497 0.268
Y 0.501 0.998 0.728
Y 0.001 0.498 0.728
Li 0.501 0.497 0.998
Pd 0.001 0.997 0.498